Material: Tb2Pm6Nd3
Method: DFT, PBE
State: relaxed

Output
- distance to the lowest polymorph of the same formula (meV/atom) = 255.5
- ΔE_f (eV per formula unit) = 2.94
- theoretical density (g cm⁻³) = 6.817

Unit cell a=4.838 b=4.838 c=33.730 alpha=90.00 beta=90.00 gamma=90.00
Space group I4/mmm (No. 139)
Symmetry-distinct sites (fractional):
Tb 0.000 0.000 0.045
Pm 0.000 0.000 0.197
Pm 0.000 0.500 0.120
Nd 0.000 0.000 0.299
Nd 0.000 0.000 0.500

Material: Pr2Sc
Method: DFT, PBE
State: relaxed

Output
- distance to the lowest polymorph of the same formula (meV/atom) = 54.0
- ΔE_f (eV per formula unit) = 0.30
- theoretical density (g cm⁻³) = 5.638

Unit cell a=5.812 b=5.824 c=11.373 alpha=90.00 beta=90.00 gamma=90.00
Space group Fmmm (No. 69)
Symmetry-distinct sites (fractional):
Pr 0.000 0.000 0.154
Sc 0.000 0.000 0.500

Material: HoErAgPd
Method: DFT, PBE
State: relaxed

Output
- distance to the lowest polymorph of the same formula (meV/atom) = 0.0
- ΔE_f (eV per formula unit) = -2.48
- theoretical density (g cm⁻³) = 10.124

Unit cell a=3.538 b=3.538 c=7.159 alpha=90.00 beta=90.00 gamma=90.00
Space group P4mm (No. 99)
Symmetry-distinct sites (fractional):
Ho 0.000 0.000 0.000
Er 0.000 0.000 0.479
Ag 0.500 0.500 0.737
Pd 0.500 0.500 0.242

Material: ZrAgSe
Method: DFT, PBE
State: relaxed

Output
- distance to the lowest polymorph of the same formula (meV/atom) = 393.9
- theoretical density (g cm⁻³) = 7.042
- E_form (uncorrected) (eV/f.u.) = -0.35

Unit cell a=6.401 b=6.401 c=6.401 alpha=90.00 beta=90.00 gamma=90.00
Space group F-43m (No. 216)
Symmetry-distinct sites (fractional):
Zr 0.000 0.000 0.000
Ag 0.000 0.000 0.500
Se 0.250 0.250 0.750

Material: Y3BiSe6
Method: DFT, PBE
State: relaxed

Output
- distance to the lowest polymorph of the same formula (meV/atom) = 32.1
- theoretical density (g cm⁻³) = 5.657
- E_form (uncorrected) (eV/f.u.) = -14.48

Unit cell a=11.118 b=14.041 c=7.141 alpha=90.00 beta=90.00 gamma=90.00
Space group Cmc2_1 (No. 36)
Symmetry-distinct sites (fractional):
Y 0.000 0.093 0.000
Y 0.185 0.399 0.900
Bi 0.000 0.321 0.382
Se 0.000 0.269 0.768
Se 0.000 0.493 0.130
Se 0.166 0.033 0.705
Se 0.173 0.230 0.170

Material: Nb3SnS2
Method: DFT, PBE
State: relaxed

Output
- theoretical density (g cm⁻³) = 6.712
- E_form (uncorrected) (eV/f.u.) = -3.06

Unit cell a=14.079 b=4.763 c=8.186 alpha=90.00 beta=123.68 gamma=90.00
Space group C2/m (No. 12)
Symmetry-distinct sites (fractional):
Nb 0.032 0.000 0.209
Nb 0.123 0.500 0.115
Nb 0.207 0.500 0.539
Sn 0.129 0.000 0.635
S 0.001 0.500 0.262
S 0.173 0.000 0.088

Material: Pm4NdTm4
Method: DFT, PBE
State: relaxed

Output
- distance to the lowest polymorph of the same formula (meV/atom) = 0.0
- ΔE_f (eV per formula unit) = 0.18
- theoretical density (g cm⁻³) = 7.968

Unit cell a=10.763 b=10.763 c=5.037 alpha=90.00 beta=90.00 gamma=90.00
Space group I4/mmm (No. 139)
Symmetry-distinct sites (fractional):
Pm 0.000 0.331 0.000
Nd 0.000 0.000 0.000
Tm 0.167 0.167 0.500

Material: Tb6SmHo3Th2
Method: DFT, PBE
State: relaxed

Output
- ΔE_f (eV per formula unit) = 0.36
- theoretical density (g cm⁻³) = 8.929

Unit cell a=6.180 b=10.692 c=11.792 alpha=90.00 beta=100.07 gamma=90.00
Space group C2/m (No. 12)
Symmetry-distinct sites (fractional):
Tb 0.246 0.000 0.249
Tb 0.247 0.169 0.751
Sm 0.000 0.500 0.000
Ho 0.000 0.000 0.500
Ho 0.000 0.334 0.500
Th 0.000 0.167 0.000

Material: Ac3IN2
Method: DFT, PBE
State: relaxed

Output
- theoretical density (g cm⁻³) = 5.943
- E_form (uncorrected) (eV/f.u.) = -6.43

Unit cell a=18.159 b=8.017 c=6.418 alpha=90.00 beta=90.00 gamma=90.00
Space group Cmcm (No. 63)
Symmetry-distinct sites (fractional):
Ac 0.000 0.147 0.250
Ac 0.158 0.153 0.750
I 0.000 0.386 0.750
N 0.091 0.000 0.000

Material: AlCo2Se
Method: DFT, PBE
State: relaxed

Output
- distance to the lowest polymorph of the same formula (meV/atom) = 389.7
- theoretical density (g cm⁻³) = 6.726
- E_form (uncorrected) (eV/f.u.) = 1.19

Unit cell a=6.046 b=6.046 c=6.046 alpha=90.00 beta=90.00 gamma=90.00
Space group F-43m (No. 216)
Symmetry-distinct sites (fractional):
Al 0.000 0.000 0.000
Co 0.000 0.000 0.500
Co 0.250 0.250 0.250
Se 0.250 0.250 0.750

Material: Al5CuNi4
Method: DFT, PBE
State: relaxed

Output
- ΔE_f (eV per formula unit) = -5.75
- theoretical density (g cm⁻³) = 5.841

Unit cell a=2.920 b=2.920 c=14.444 alpha=90.00 beta=90.00 gamma=90.00
Space group P4/mmm (No. 123)
Symmetry-distinct sites (fractional):
Al 0.000 0.000 0.000
Al 0.000 0.000 0.196
Al 0.000 0.000 0.391
Cu 0.500 0.500 0.500
Ni 0.500 0.500 0.098
Ni 0.500 0.500 0.296

Material: CoCuPt4
Method: DFT, PBE
State: relaxed

Output
- distance to the lowest polymorph of the same formula (meV/atom) = 431.9
- ΔE_f (eV per formula unit) = 1.85
- theoretical density (g cm⁻³) = 15.063

Unit cell a=7.356 b=7.356 c=7.356 alpha=90.00 beta=90.00 gamma=90.00
Space group F-43m (No. 216)
Symmetry-distinct sites (fractional):
Co 0.000 0.000 0.000
Cu 0.250 0.250 0.250
Pt 0.125 0.125 0.625

Material: TaCrCl
Method: DFT, PBE
State: relaxed

Output
- distance to the lowest polymorph of the same formula (meV/atom) = 1126.9
- theoretical density (g cm⁻³) = 7.671
- E_form (uncorrected) (eV/f.u.) = 3.90

Unit cell a=6.148 b=6.148 c=6.148 alpha=90.00 beta=90.00 gamma=90.00
Space group F-43m (No. 216)
Symmetry-distinct sites (fractional):
Ta 0.000 0.000 0.000
Cr 0.250 0.250 0.250
Cl 0.250 0.250 0.750

Material: Y2Re2Tc
Method: DFT, PBE
State: relaxed

Output
- ΔE_f (eV per formula unit) = 0.50
- theoretical density (g cm⁻³) = 10.344

Unit cell a=6.580 b=6.580 c=4.807 alpha=90.00 beta=90.00 gamma=90.00
Space group P4/mbm (No. 127)
Symmetry-distinct sites (fractional):
Y 0.178 0.322 0.000
Re 0.131 0.631 0.500
Tc 0.000 0.000 0.500